The following is a DFT calculation (PBE) of crystalline AcYS at its relaxed geometry.

## Properties
Total DFT energy (no corrections)   -18.28 eV for the cell shown
Spin magnetization   0.027 μB per formula unit

Cell lengths 3.9904, 3.9904, 6.8223 Å; angles 90.00, 90.00, 120.00 degrees
Space group P3m1 (No. 156)
Asymmetric unit:
1 Ac 0.0000 0.0000 0.0000
2 Y 0.6667 0.3333 0.4885
3 S 0.3333 0.6667 0.7103

***

The following is a DFT calculation (PBE) of crystalline Ac3YS at its relaxed geometry.

## Properties
Total DFT energy (no corrections)   -26.16 eV for the cell shown
Spin magnetization   0.000 μB per formula unit

Cell lengths 5.827, 5.827, 5.827 Å; angles 90.00, 90.00, 90.00 degrees
Space group Pm-3m (No. 221)
Asymmetric unit:
1 Ac 0.000 0.000 0.500
2 Y 0.500 0.500 0.500
3 S 0.000 0.000 0.000

***

The following is a DFT calculation (PBE) of crystalline AcYS3 at its relaxed geometry.

## Properties
Energy above the most stable polymorph in this dataset   0.000 eV per atom
Total DFT energy (no corrections)   -134.53 eV for the cell shown
Spin magnetization   0.000 μB per formula unit

Cell lengths 8.251, 4.098, 14.955 Å; angles 90.00, 90.00, 90.00 degrees
Space group Pnma (No. 62)
Asymmetric unit:
1 Ac 0.130 0.250 0.195
2 Y 0.192 0.750 0.455
3 S 0.002 0.250 0.390
4 S 0.157 0.750 0.047
5 S 0.159 0.250 0.792

***

The following is a DFT calculation (PBE) of crystalline AcY2S4 at its relaxed geometry.

## Properties
Total DFT energy (no corrections)   -193.47 eV for the cell shown
Spin magnetization   0.000 μB per formula unit

Cell lengths 4.000, 13.027, 13.392 Å; angles 90.00, 90.00, 90.00 degrees
Space group Cmcm (No. 63)
Asymmetric unit:
1 Ac 0.000 0.120 0.250
2 Y 0.000 0.371 0.064
3 S 0.000 0.000 0.000
4 S 0.000 0.270 0.617
5 S 0.000 0.451 0.250

***

The following is a DFT calculation (PBE) of crystalline AcY3S6 at its relaxed geometry.

## Properties
Total DFT energy (no corrections)   -139.15 eV for the cell shown
Spin magnetization   0.000 μB per formula unit

Cell lengths 11.212, 4.074, 11.504 Å; angles 90.00, 108.86, 90.00 degrees
Space group P2_1/m (No. 11)
Asymmetric unit:
1 Ac 0.054 0.250 0.198
2 Y 0.162 0.250 0.590
3 Y 0.322 0.750 0.999
4 Y 0.451 0.250 0.334
5 S 0.083 0.750 0.411
6 S 0.125 0.250 0.963
7 S 0.200 0.750 0.748
8 S 0.276 0.750 0.232
9 S 0.391 0.250 0.553
10 S 0.478 0.250 0.110

***

The following is a DFT calculation (PBE) of crystalline Ac5Y3S8 at its relaxed geometry.

## Properties
Total DFT energy (no corrections)   -313.62 eV for the cell shown
Spin magnetization   0.000 μB per formula unit

Cell lengths 8.2644, 8.2644, 20.7408 Å; angles 90.00, 90.00, 120.00 degrees
Space group R-3m (No. 166, hexagonal axes)
Asymmetric unit:
1 Ac 0.0000 0.0000 0.0000
2 Ac 0.0000 0.0000 0.5000
3 Ac 0.0000 0.5000 0.0000
4 Y 0.0000 0.5000 0.5000
5 S 0.0000 0.0000 0.2401
6 S 0.0142 0.5071 0.7573

***

The following is a DFT calculation (PBE) of crystalline Ac4YS7 at its relaxed geometry.

## Properties
Total DFT energy (no corrections)   -154.57 eV for the cell shown
Spin magnetization   0.000 μB per formula unit

Cell lengths 13.958, 4.143, 12.173 Å; angles 90.00, 105.68, 90.00 degrees
Space group Cm (No. 8)
Asymmetric unit:
1 Ac 0.000 0.000 0.000
2 Ac 0.092 0.500 0.375
3 Ac 0.198 0.000 0.769
4 Ac 0.392 0.500 0.562
5 Y 0.276 0.500 0.144
6 S 0.053 0.500 0.620
7 S 0.132 0.500 0.932
8 S 0.166 0.000 0.217
9 S 0.232 0.000 0.520
10 S 0.351 0.500 0.783
11 S 0.371 0.000 0.063
12 S 0.431 0.500 0.337

***

The following is a DFT calculation (PBE) of crystalline AcYS3 at its relaxed geometry.

## Properties
Energy above the most stable polymorph in this dataset   0.023 eV per atom
Total DFT energy (no corrections)   -67.03 eV for the cell shown
Spin magnetization   0.000 μB per formula unit

Cell lengths 4.149, 6.774, 8.950 Å; angles 90.00, 90.00, 90.00 degrees
Space group Pmmn (No. 59, origin choice 2)
Asymmetric unit:
1 Ac 0.250 0.250 0.149
2 Y 0.250 0.750 0.402
3 S 0.250 0.514 0.659
4 S 0.250 0.750 0.080

***

The following is a DFT calculation (PBE) of crystalline AcZnS2 at its relaxed geometry.

## Properties
Total DFT energy (no corrections)   -54.55 eV for the cell shown
Spin magnetization   0.000 μB per formula unit

Cell lengths 4.4451, 4.4451, 23.3877 Å; angles 90.00, 90.00, 120.00 degrees
Space group R-3m (No. 166, hexagonal axes)
Asymmetric unit:
1 Ac 0.0000 0.0000 0.0000
2 Zn 0.0000 0.0000 0.5000
3 S 0.0000 0.0000 0.4000

***

The following is a DFT calculation (PBE) of crystalline AcZnS3 at its relaxed geometry.

## Properties
Total DFT energy (no corrections)   -95.08 eV for the cell shown
Spin magnetization   0.000 μB per formula unit

Cell lengths 6.786, 5.769, 11.574 Å; angles 90.00, 90.00, 90.00 degrees
Space group Pnma (No. 62)
Asymmetric unit:
1 Ac 0.240 0.250 0.083
2 Zn 0.085 0.250 0.786
3 S 0.122 0.006 0.332
4 S 0.123 0.750 0.054

***

The following is a DFT calculation (PBE) of crystalline Ac3Zn5S12 at its relaxed geometry.

## Properties
Total DFT energy (no corrections)   -692.11 eV for the cell shown
Spin magnetization   0.000 μB per formula unit

Cell lengths 15.586, 15.586, 15.586 Å; angles 90.00, 90.00, 90.00 degrees
Space group Ia-3d (No. 230)
Asymmetric unit:
1 Ac 0.000 0.250 0.125
2 Zn 0.000 0.000 0.000
3 Zn 0.000 0.250 0.375
4 S 0.031 0.057 0.648

***

The following is a DFT calculation (PBE) of crystalline Ac6ZrS12 at its relaxed geometry.

## Properties
Total DFT energy (no corrections)   -355.06 eV for the cell shown
Spin magnetization   1.767 μB per formula unit

Cell lengths 12.6878, 12.6878, 12.1361 Å; angles 90.00, 90.00, 120.00 degrees
Space group R-3 (No. 148, hexagonal axes)
Asymmetric unit:
1 Ac 0.0596 0.6056 0.3179
2 Zr 0.0000 0.0000 0.0000
3 S 0.0464 0.8203 0.4031
4 S 0.0491 0.8547 0.8886

***

The following is a DFT calculation (PBE) of crystalline Ac3ZrS6 at its relaxed geometry.

## Properties
Energy above the most stable polymorph in this dataset   0.049 eV per atom
Total DFT energy (no corrections)   -129.90 eV for the cell shown
Spin magnetization   1.014 μB per formula unit

Cell lengths 7.056, 7.617, 12.109 Å; angles 90.00, 122.01, 90.00 degrees
Space group P2_1/c (No. 14)
Asymmetric unit:
1 Ac 0.000 0.000 0.000
2 Ac 0.299 0.094 0.761
3 Zr 0.500 0.000 0.500
4 S 0.130 0.047 0.271
5 S 0.274 0.680 0.074
6 S 0.399 0.200 0.066

***

The following is a DFT calculation (PBE) of crystalline AcZrS4 at its relaxed geometry.

## Properties
Total DFT energy (no corrections)   -152.75 eV for the cell shown
Spin magnetization   0.000 μB per formula unit

Cell lengths 9.045, 12.099, 6.537 Å; angles 90.00, 124.77, 90.00 degrees
Space group C2/c (No. 15)
Asymmetric unit:
1 Ac 0.000 0.137 0.250
2 Zr 0.000 0.496 0.750
3 S 0.113 0.338 0.585
4 S 0.229 0.060 0.788

***

The following is a DFT calculation (PBE) of crystalline Ac2ZrS5 at its relaxed geometry.

## Properties
Energy above the most stable polymorph in this dataset   0.145 eV per atom
Total DFT energy (no corrections)   -208.19 eV for the cell shown
Spin magnetization   0.000 μB per formula unit

Cell lengths 5.401, 14.507, 13.399 Å; angles 90.00, 90.00, 90.00 degrees
Space group Cmcm (No. 63)
Asymmetric unit:
1 Ac 0.000 0.144 0.070
2 Zr 0.000 0.178 0.750
3 S 0.000 0.051 0.625
4 S 0.000 0.278 0.250
5 S 0.000 0.289 0.594